# GePd3Cl

An optimized crystal structure of GePd3Cl (GGA-PBE, Alexandria via LeMat-Bulk).

Output
density of states at the Fermi level	2.78	states/eV per cell
ΔE_f (raw)	2.26	eV per formula unit
polymorph energy (0 for the lowest one)	224	meV/atom
E	-3.9556	eV per atom

abc: 4.6024 4.6024 4.6024
angles: 90.00 90.00 90.00
Sites, in units of the cell vectors:
1 Ge 0.0000 0.0000 0.0000
2 Pd 0.0000 0.5000 0.5000
3 Pd 0.5000 0.0000 0.5000
4 Pd 0.5000 0.5000 0.0000
5 Cl 0.5000 0.5000 0.5000